# Th2GaCo2Ni5 (PBE, optimized geometry)
# E_tot = -128.62 eV/cell
# DFT formation energy = -0.333 eV/atom
data_Th2GaCo2Ni5
_cell_length_a 3.859
_cell_length_b 8.790
_cell_length_c 8.790
_cell_angle_alpha 90.00
_cell_angle_beta 90.00
_cell_angle_gamma 90.00
_symmetry_space_group_name_H-M 'P 1'
_symmetry_Int_Tables_number 1
_symmetry_space_group_name_Hall 'P 1'
loop_
_atom_site_label
_atom_site_fract_x
_atom_site_fract_y
_atom_site_fract_z
Ga1 0.000 0.500 0.500
Th1 0.000 0.825 0.675
Ni1 0.500 0.065 0.797
Ga2 0.000 0.000 0.000
Th2 0.000 0.175 0.325
Ni2 0.500 0.797 0.935
Co1 0.000 0.625 0.875
Th3 0.000 0.325 0.825
Ni3 0.500 0.297 0.565
Ni4 0.500 0.000 0.500
Co2 0.000 0.375 0.125
Ni5 0.500 0.435 0.297
Ni6 0.500 0.935 0.203
Ni7 0.500 0.203 0.065
Ni8 0.500 0.703 0.435
Co3 0.000 0.125 0.625
Th4 0.000 0.675 0.175
Co4 0.000 0.875 0.375
Ni9 0.500 0.500 0.000
Ni10 0.500 0.565 0.703